# BaTlRe2

An optimized crystal structure of BaTlRe2 (GGA-PBE, Alexandria via LeMat-Bulk).

For the mass density, the calculation gives 13.59 g/cm³. The formation energy comes out at 609 kJ/mol of formula units. The volume is 21.81 A^3/atom.

The space group is P4/mmm (No. 123) and the conventional cell measures 2.9406, 2.9406 and 10.0897 Å, with angles of 90.00, 90.00 and 90.00 degrees. The distinct sites, in fractional coordinates, are Ba at (0.0000, 0.0000, 0.0000), Tl at (0.0000, 0.0000, 0.5000) and Re at (0.5000, 0.5000, 0.2791).

---

# BaTlRe2

An optimized crystal structure of BaTlRe2 (GGA-PBE, Alexandria via LeMat-Bulk).

For the mass density, the calculation gives 11.75 g/cm³. The formation energy comes out at 730 kJ/mol of formula units. The volume is 25.24 A^3/atom.

The space group is I-42d (No. 122) and the conventional cell measures 8.3978, 8.3978 and 5.7254 Å, with angles of 90.00, 90.00 and 90.00 degrees. The distinct sites, in fractional coordinates, are Ba at (0.0000, 0.0000, 0.0000), Tl at (0.0000, 0.0000, 0.5000) and Re at (0.2055, 0.2500, 0.6250).

---

# BaTlRe2

An optimized crystal structure of BaTlRe2 (GGA-PBE, Alexandria via LeMat-Bulk).

For the mass density, the calculation gives 14.00 g/cm³. The formation energy comes out at 579 kJ/mol of formula units. The volume is 21.18 A^3/atom.

The space group is Cmmm (No. 65) and the conventional cell measures 3.2324, 5.0450 and 10.3904 Å, with angles of 90.00, 90.00 and 90.00 degrees. The distinct sites, in fractional coordinates, are Ba at (0.0000, 0.0000, 0.0000), Tl at (0.0000, 0.0000, 0.5000) and Re at (0.0000, 0.5000, 0.2751).

---

# BaTlRe2

An optimized crystal structure of BaTlRe2 (GGA-PBE, Alexandria via LeMat-Bulk).

For the mass density, the calculation gives 13.69 g/cm³. The formation energy comes out at 588 kJ/mol of formula units. The volume is 21.65 A^3/atom.

The space group is C2/m (No. 12) and the conventional cell measures 6.1467, 10.5525 and 2.9162 Å, with angles of 90.00, 113.72 and 90.00 degrees. The distinct sites, in fractional coordinates, are Ba at (0.0000, 0.0000, 0.0000), Tl at (0.0000, 0.5000, 0.0000) and Re at (0.2500, 0.2500, 0.5000).

---

# BaTlRe2

An optimized crystal structure of BaTlRe2 (GGA-PBE, Alexandria via LeMat-Bulk).

For the mass density, the calculation gives 13.92 g/cm³. The formation energy comes out at 587 kJ/mol of formula units. The volume is 21.29 A^3/atom.

The space group is R-3m (No. 166, hexagonal axes) and the conventional cell measures 3.0419, 3.0419 and 31.8857 Å, with angles of 90.00, 90.00 and 120.00 degrees. The distinct sites, in fractional coordinates, are Ba at (0.0000, 0.0000, 0.0000), Tl at (0.0000, 0.0000, 0.5000) and Re at (0.0000, 0.0000, 0.2396).

---

# BaTl4Re

An optimized crystal structure of BaTl4Re (GGA-PBE, Alexandria via LeMat-Bulk).

For the mass density, the calculation gives 10.53 g/cm³. The formation energy comes out at 431 kJ/mol of formula units. The volume is 29.98 A^3/atom.

The space group is F-43m (No. 216) and the conventional cell measures 8.9608, 8.9608 and 8.9608 Å, with angles of 90.00, 90.00 and 90.00 degrees. The distinct sites, in fractional coordinates, are Ba at (0.0000, 0.0000, 0.0000), Tl at (0.1237, 0.1237, 0.3763) and Re at (0.2500, 0.2500, 0.7500).